Here is a relaxed RbYbW2O8 crystal from the Alexandria database. Energies are from GGA+U.

Cell: 6.113 6.113 7.874 Å, 90.00 90.00 120.00°
Element x y z (fractional)
1 W 0.333 0.667 0.253
2 W 0.667 0.333 0.747
3 O 0.667 0.333 0.973
4 O 0.169 0.831 0.325
5 O 0.339 0.169 0.675
6 O 0.661 0.831 0.325
7 O 0.831 0.169 0.675
8 O 0.333 0.667 0.027
9 O 0.169 0.339 0.325
10 O 0.831 0.661 0.675
11 Yb 0.000 0.000 0.500
12 Rb 0.000 0.000 0.000

Calculated values
- SG = No. 164
- excess energy over the best structure of this formula in the dataset (kJ/mol of formula units) = 56
- ρ (Mg/m³) = 4.9